[1]
CaCuAs2Se4 | the Alexandria database | PBE | relaxed; space group = Fmm2, No. 42; total DFT energy (no corrections) = -0.1520 hartree per atom; uncorrected formation energy = -0.471 eV per atom
1.0
0.000 5.413 4.123
4.170 0.000 4.123
4.170 5.413 0.000
Ca Cu As Se
1 1 2 4
Direct
0.000 0.000 0.000
0.579 0.579 0.421
0.284 0.284 0.216
0.784 0.784 0.716
0.247 0.696 0.304
0.503 0.983 0.497
0.696 0.247 0.753
0.983 0.503 0.017

***

[2]
Ca2Cu4SnAs3 | the Alexandria database | PBE | relaxed; space group = P-4m2, No. 115; total DFT energy (no corrections) = -0.1585 hartree per atom
1.0
4.199 0.000 0.000
0.000 4.199 0.000
0.000 0.000 10.710
Ca Cu Sn As
2 4 1 3
Direct
0.000 0.500 0.229
0.500 0.000 0.771
0.000 0.000 0.000
0.000 0.500 0.649
0.500 0.000 0.351
0.500 0.500 0.000
0.000 0.000 0.500
0.000 0.500 0.870
0.500 0.000 0.130
0.500 0.500 0.500

***

[3]
SrCaCuAs | the Alexandria database | PBE | relaxed; space group = F-43m, No. 216; total DFT energy (no corrections) = -0.1361 hartree per atom
1.0
0.000 3.691 3.691
3.691 0.000 3.691
3.691 3.691 0.000
Sr Ca Cu As
1 1 1 1
Direct
0.000 0.000 0.000
0.500 0.500 0.500
0.750 0.750 0.750
0.250 0.250 0.250

***

[4]
Ca4U3CuAs8 | the Alexandria database | PBE | relaxed; space group = R-3m, No. 166; total DFT energy (no corrections) = -0.2194 hartree per atom
1.0
4.092 2.363 6.855
-4.092 2.363 6.855
0.000 -4.726 6.855
Ca U Cu As
4 3 1 8
Direct
0.000 0.000 0.000
0.000 0.500 0.500
0.500 0.000 0.500
0.500 0.500 0.000
0.000 0.000 0.500
0.000 0.500 0.000
0.500 0.000 0.000
0.500 0.500 0.500
0.242 0.741 0.741
0.244 0.244 0.244
0.259 0.259 0.758
0.259 0.758 0.259
0.741 0.242 0.741
0.741 0.741 0.242
0.756 0.756 0.756
0.758 0.259 0.259

***

[5]
Ca2ZnCu3As4 | the Alexandria database | PBE | relaxed; space group = P-4m2, No. 115; total DFT energy (no corrections) = -0.1516 hartree per atom
1.0
4.251 0.000 0.000
0.000 4.251 0.000
0.000 0.000 10.330
Ca Zn Cu As
2 1 3 4
Direct
0.000 0.500 0.242
0.500 0.000 0.758
0.000 0.000 0.500
0.000 0.500 0.872
0.500 0.000 0.128
0.500 0.500 0.500
0.000 0.000 0.000
0.000 0.500 0.641
0.500 0.000 0.359
0.500 0.500 0.000

***

[6]
CaDy3As4 | the Alexandria database | PBE | relaxed; space group = Pm-3m, No. 221; total DFT energy (no corrections) = -0.2079 hartree per atom
1.0
5.858 0.000 0.000
0.000 5.858 0.000
0.000 0.000 5.858
Ca Dy As
1 3 4
Direct
0.000 0.000 0.000
0.000 0.500 0.500
0.500 0.000 0.500
0.500 0.500 0.000
0.000 0.000 0.500
0.000 0.500 0.000
0.500 0.000 0.000
0.500 0.500 0.500

***

[7]
CaDy2As | the Alexandria database | PBE | relaxed; space group = R-3m, No. 166; total DFT energy (no corrections) = -0.1636 hartree per atom
1.0
1.943 1.122 10.353
-1.943 1.122 10.353
0.000 -2.243 10.353
Ca Dy As
1 2 1
Direct
0.000 0.000 0.000
0.113 0.113 0.113
0.887 0.887 0.887
0.500 0.500 0.500

***

[8]
Ca2DyHfAs4 | the Alexandria database | PBE | relaxed; space group = P2/m, No. 10; total DFT energy (no corrections) = -0.2141 hartree per atom
1.0
7.038 0.000 0.000
0.000 4.041 0.000
-2.320 0.000 6.867
Ca Dy Hf As
2 1 1 4
Direct
0.000 0.000 0.000
0.500 0.500 0.000
0.000 0.500 0.500
0.500 0.000 0.500
0.257 0.000 0.732
0.270 0.500 0.274
0.730 0.500 0.726
0.743 0.000 0.268

***

[9]
CaDy2HfAs4 | the Alexandria database | PBE | relaxed; space group = P2/m, No. 10; total DFT energy (no corrections) = -0.2302 hartree per atom
1.0
6.982 0.000 0.000
0.000 4.051 0.000
-2.307 0.000 6.687
Ca Dy Hf As
1 2 1 4
Direct
0.000 0.000 0.000
0.500 0.000 0.500
0.500 0.500 0.000
0.000 0.500 0.500
0.237 0.000 0.736
0.245 0.500 0.262
0.755 0.500 0.738
0.763 0.000 0.264

***

[10]
CaLa2DyAs4 | the Alexandria database | PBE | relaxed; space group = P2/m, No. 10; total DFT energy (no corrections) = -0.2114 hartree per atom
1.0
7.336 0.000 0.000
0.000 4.303 0.000
-2.530 0.000 7.043
Ca La Dy As
1 2 1 4
Direct
0.000 0.000 0.000
0.500 0.000 0.500
0.500 0.500 0.000
0.000 0.500 0.500
0.239 0.000 0.741
0.243 0.500 0.254
0.757 0.500 0.746
0.761 0.000 0.259

***

[11]
CaLaDy2As4 | the Alexandria database | PBE | relaxed; space group = I4/mmm, No. 139; total DFT energy (no corrections) = -0.2092 hartree per atom
1.0
-2.976 2.976 5.973
2.976 -2.976 5.973
2.976 2.976 -5.973
Ca La Dy As
1 1 2 4
Direct
0.000 0.000 0.000
0.500 0.500 0.000
0.250 0.750 0.500
0.750 0.250 0.500
0.000 0.500 0.500
0.250 0.250 0.000
0.500 0.000 0.500
0.750 0.750 0.000

***

[12]
CaNd2DyAs4 | the Alexandria database | PBE | relaxed; space group = P2/m, No. 10; total DFT energy (no corrections) = -0.2091 hartree per atom
1.0
7.293 0.000 0.000
0.000 4.233 0.000
-2.467 0.000 6.932
Ca Nd Dy As
1 2 1 4
Direct
0.000 0.000 0.000
0.500 0.000 0.500
0.500 0.500 0.000
0.000 0.500 0.500
0.244 0.000 0.744
0.247 0.500 0.254
0.753 0.500 0.746
0.756 0.000 0.256

***

[13]
CaDyNi2As2 | the Alexandria database | PBE | relaxed; space group = P-3m1, No. 164; total DFT energy (no corrections) = -0.2032 hartree per atom
1.0
4.046 0.000 0.000
-2.023 3.504 0.000
0.000 0.000 8.049
Ca Dy Ni As
1 1 2 2
Direct
0.000 0.000 0.000
0.000 0.000 0.500
0.333 0.667 0.735
0.667 0.333 0.265
0.333 0.667 0.257
0.667 0.333 0.743

***

[14]
Ca2DyNpAs4 | the Alexandria database | PBE | relaxed; space group = P2/m, No. 10; total DFT energy (no corrections) = -0.2246 hartree per atom
1.0
7.185 0.000 0.000
0.000 4.187 0.000
-2.388 0.000 6.833
Ca Dy Np As
2 1 1 4
Direct
0.000 0.000 0.000
0.500 0.500 0.000
0.000 0.500 0.500
0.500 0.000 0.500
0.254 0.000 0.731
0.264 0.500 0.271
0.736 0.500 0.729
0.746 0.000 0.269

***

[15]
CaDy2NpAs4 | the Alexandria database | PBE | relaxed; space group = P2/m, No. 10; total DFT energy (no corrections) = -0.2403 hartree per atom
1.0
7.153 0.000 0.000
0.000 4.137 0.000
-2.329 0.000 6.767
Ca Dy Np As
1 2 1 4
Direct
0.000 0.000 0.000
0.000 0.500 0.500
0.500 0.000 0.500
0.500 0.500 0.000
0.256 0.000 0.751
0.261 0.500 0.251
0.739 0.500 0.749
0.744 0.000 0.249

***

[16]
CaDyNp2As4 | the Alexandria database | PBE | relaxed; space group = P2/m, No. 10; total DFT energy (no corrections) = -0.2705 hartree per atom
1.0
7.168 0.000 0.000
0.000 4.133 0.000
-2.386 0.000 6.778
Ca Dy Np As
1 1 2 4
Direct
0.000 0.000 0.000
0.000 0.500 0.500
0.500 0.000 0.500
0.500 0.500 0.000
0.256 0.000 0.748
0.262 0.500 0.259
0.738 0.500 0.741
0.744 0.000 0.252

***

[17]
Ca4DyPa3As8 | the Alexandria database | PBE | relaxed; space group = R-3m, No. 166; total DFT energy (no corrections) = -0.2245 hartree per atom
1.0
4.179 2.413 6.827
-4.179 2.413 6.827
0.000 -4.825 6.827
Ca Dy Pa As
4 1 3 8
Direct
0.000 0.000 0.000
0.000 0.500 0.500
0.500 0.000 0.500
0.500 0.500 0.000
0.500 0.500 0.500
0.000 0.000 0.500
0.000 0.500 0.000
0.500 0.000 0.000
0.239 0.747 0.747
0.245 0.245 0.245
0.253 0.253 0.761
0.253 0.761 0.253
0.747 0.239 0.747
0.747 0.747 0.239
0.755 0.755 0.755
0.761 0.253 0.253

***

[18]
Ca3Dy2PaAs6 | the Alexandria database | PBE | relaxed; space group = C2/m, No. 12; total DFT energy (no corrections) = -0.2074 hartree per atom
1.0
3.623 -6.281 0.000
3.623 6.281 0.000
-2.421 0.000 6.840
Ca Dy Pa As
3 2 1 6
Direct
0.000 0.000 0.000
0.331 0.669 0.000
0.669 0.331 0.000
0.167 0.833 0.500
0.833 0.167 0.500
0.500 0.500 0.500
0.095 0.422 0.266
0.252 0.252 0.734
0.422 0.095 0.266
0.578 0.905 0.734
0.748 0.748 0.266
0.905 0.578 0.734

***

[19]
CaDyAs2Pd5 | the Alexandria database | PBE | relaxed; space group = P4/mmm, No. 123; total DFT energy (no corrections) = -0.1979 hartree per atom
1.0
4.287 0.000 0.000
0.000 4.287 0.000
0.000 0.000 8.953
Ca Dy As Pd
1 1 2 5
Direct
0.000 0.000 0.000
0.000 0.000 0.500
0.500 0.500 0.363
0.500 0.500 0.637
0.000 0.500 0.229
0.000 0.500 0.771
0.500 0.000 0.229
0.500 0.000 0.771
0.500 0.500 0.000

***

[20]
CaPm2Dy3As6 | the Alexandria database | PBE | relaxed; space group = C2/m, No. 12; total DFT energy (no corrections) = -0.2153 hartree per atom
1.0
9.127 -2.089 0.000
9.127 2.089 0.000
-1.951 0.000 8.140
Ca Pm Dy As
1 2 3 6
Direct
0.000 0.000 0.000
0.334 0.334 0.669
0.666 0.666 0.331
0.000 0.000 0.500
0.334 0.334 0.166
0.666 0.666 0.834
0.166 0.166 0.587
0.169 0.169 0.079
0.498 0.498 0.257
0.502 0.502 0.743
0.831 0.831 0.921
0.834 0.834 0.413

***

[21]
CaPmDy2As4 | the Alexandria database | PBE | relaxed; space group = P2/m, No. 10; total DFT energy (no corrections) = -0.2090 hartree per atom
1.0
7.230 0.000 0.000
0.000 4.171 0.000
-2.405 0.000 6.860
Ca Pm Dy As
1 1 2 4
Direct
0.000 0.000 0.000
0.500 0.500 0.000
0.000 0.500 0.500
0.500 0.000 0.500
0.248 0.000 0.742
0.255 0.500 0.260
0.745 0.500 0.740
0.752 0.000 0.258

***

[22]
CaPr2DyAs4 | the Alexandria database | PBE | relaxed; space group = P2/m, No. 10; total DFT energy (no corrections) = -0.2089 hartree per atom
1.0
7.316 0.000 0.000
0.000 4.256 0.000
-2.486 0.000 6.967
Ca Pr Dy As
1 2 1 4
Direct
0.000 0.000 0.000
0.500 0.000 0.500
0.500 0.500 0.000
0.000 0.500 0.500
0.241 0.000 0.743
0.245 0.500 0.254
0.755 0.500 0.746
0.759 0.000 0.257

***

[23]
Ca2DyPuAs4 | the Alexandria database | PBE | relaxed; space group = P2/m, No. 10; total DFT energy (no corrections) = -0.2323 hartree per atom
1.0
7.207 0.000 0.000
0.000 4.202 0.000
-2.425 0.000 6.824
Ca Dy Pu As
2 1 1 4
Direct
0.000 0.000 0.000
0.500 0.500 0.000
0.000 0.500 0.500
0.500 0.000 0.500
0.251 0.000 0.733
0.261 0.500 0.270
0.739 0.500 0.730
0.749 0.000 0.267

***

[24]
CaDy2PuAs4 | the Alexandria database | PBE | relaxed; space group = P2/m, No. 10; total DFT energy (no corrections) = -0.2490 hartree per atom
1.0
7.159 0.000 0.000
0.000 4.153 0.000
-2.358 0.000 6.789
Ca Dy Pu As
1 2 1 4
Direct
0.000 0.000 0.000
0.000 0.500 0.500
0.500 0.000 0.500
0.500 0.500 0.000
0.256 0.000 0.750
0.259 0.500 0.254
0.741 0.500 0.746
0.744 0.000 0.250